# KRe2Hg

KRe2Hg after structural relaxation (GGA-PBE, Alexandria via LeMat-Bulk).

CIF file:
```
data_KRe2Hg
_chemical_formula_sum 'K2 Re4 Hg2'
_space_group_name_H-M_alt 'C m m m'
_space_group_IT_number 65
_space_group_name_Hall '-C 2 2'
_cell_length_a 5.583
_cell_length_b 10.802
_cell_length_c 2.616
_cell_angle_alpha 90.00
_cell_angle_beta 90.00
_cell_angle_gamma 90.00
loop_
_atom_site_label
_atom_site_fract_x
_atom_site_fract_y
_atom_site_fract_z
K1 0.000 0.000 0.000
Re1 0.250 0.250 0.500
Hg1 0.000 0.500 0.000
```

Results
electronic total energy = -5.10 eV per atom
magnetic moment = 0.0 μB per formula unit
theoretical density = 12.88 Mg/m³